[1]
Here is BaPa2PbO7 after structural relaxation from Alexandria via LeMat-Bulk. Energies are from GGA-PBE.

Cell lengths 4.378, 4.378, 11.479 Å; angles 100.99, 100.99, 90.00 degrees
Positions (direct):
O1 0.803 0.803 0.606
Pa1 0.898 0.898 0.796
O2 0.000 0.000 0.000
O3 0.197 0.197 0.394
Pb1 0.250 0.750 0.500
O4 0.587 0.087 0.174
O5 0.092 0.592 0.183
O6 0.913 0.413 0.826
Pa2 0.102 0.102 0.204
O7 0.408 0.908 0.817
Ba1 0.500 0.500 0.000

Properties
The density of states at the Fermi level is 0.000 states/eV/atom. The formation energy from raw total energies comes out at -3.0420 eV per atom. As for the energy: -8.436 eV/atom. For the calculated density, the calculation gives 7.20 g/cm³.

---

[2]
Here is CoRhI2N after structural relaxation from Alexandria via LeMat-Bulk. Energies are from GGA-PBE.

Cell lengths 5.594, 5.594, 3.682 Å; angles 90.00, 90.00, 90.00 degrees
Positions (direct):
Co1 0.500 0.500 0.500
I1 0.000 0.500 0.000
Rh1 0.000 0.000 0.000
I2 0.500 0.000 0.000
N1 0.000 0.000 0.500

Properties
The calculation puts the energy above the most stable polymorph in this dataset at 130 meV per atom. The density of states at the Fermi level is 1.312 states/eV/atom. The formation energy from raw total energies comes out at 0.8473 eV per atom. As for the energy: -4.329 eV/atom. For the calculated density, the calculation gives 6.19 g/cm³.